No. 1
Below is Re5W7 after structural relaxation, with properties calculated at the PBE-GGA level.

POSCAR file:
```
Re5W7
1.0
5.1787 0.0000 0.0000
-2.5893 4.4849 0.0000
0.0000 0.0000 16.7549
Re W
10 14
Direct
0.1595 0.3191 0.2500 Re
0.1595 0.8405 0.2500 Re
0.3191 0.1595 0.7500 Re
0.3333 0.6667 0.6607 Re
0.3333 0.6667 0.8393 Re
0.6667 0.3333 0.1607 Re
0.6667 0.3333 0.3393 Re
0.6809 0.8405 0.2500 Re
0.8405 0.1595 0.7500 Re
0.8405 0.6809 0.7500 Re
0.0000 0.0000 0.0964 W
0.0000 0.0000 0.4036 W
0.0000 0.0000 0.5964 W
0.0000 0.0000 0.9036 W
0.0000 0.5000 0.0000 W
0.0000 0.5000 0.5000 W
0.3333 0.6667 0.1279 W
0.3333 0.6667 0.3721 W
0.5000 0.0000 0.0000 W
0.5000 0.0000 0.5000 W
0.5000 0.5000 0.0000 W
0.5000 0.5000 0.5000 W
0.6667 0.3333 0.6279 W
0.6667 0.3333 0.8721 W
```

Computed properties:
**Excess energy over the best structure of this formula in the dataset**: 0.102 eV/atom
**E_form**: 447 kJ/mol of formula units
**Spin magnetization**: 0.00 μB/f.u.
**Space group**: P6_3/mmc (194)

=====

No. 2
Below is Ba2BiAsAu2 after structural relaxation, with properties calculated at the PBE-GGA level.

POSCAR file:
```
Ba2BiAsAu2
1.0
4.8183 0.0000 0.0000
-2.4092 4.1728 0.0000
0.0000 0.0000 9.3219
Ba Bi As Au
2 1 1 2
Direct
0.0000 0.0000 0.0000 Ba
0.0000 0.0000 0.4704 Ba
0.6667 0.3333 0.7336 Bi
0.3333 0.6667 0.2343 As
0.3333 0.6667 0.7378 Au
0.6667 0.3333 0.2365 Au
```

Computed properties:
**Total DFT energy (no corrections)**: -4.02 eV per atom
**Space group**: P3m1 (156)

=====

No. 3
Below is LiSc2Os after structural relaxation, with properties calculated at the PBE-GGA level.

POSCAR file:
```
LiSc2Os
1.0
3.2216 0.0000 0.0000
0.0000 3.2216 0.0000
0.0000 0.0000 7.6792
Li Sc Os
1 2 1
Direct
0.0000 0.0000 0.0000 Li
0.5000 0.5000 0.2998 Sc
0.5000 0.5000 0.7002 Sc
0.0000 0.0000 0.5000 Os
```

Computed properties:
**Excess energy over the best structure of this formula in the dataset**: 0.045 eV/atom
**Spin magnetization**: 0.02 μB/f.u.
**Space group**: P4/mmm (123)

=====

No. 4
Below is SmZrTa after structural relaxation, with properties calculated at the PBE-GGA level.

POSCAR file:
```
SmZrTa
1.0
0.0000 3.4034 3.4034
3.4034 0.0000 3.4034
3.4034 3.4034 0.0000
Sm Zr Ta
1 1 1
Direct
0.0000 0.0000 0.0000 Sm
0.2500 0.2500 0.2500 Zr
0.7500 0.7500 0.7500 Ta
```

Computed properties:
**Excess energy over the best structure of this formula in the dataset**: 0.340 eV/atom
**E_form**: 409 kJ/mol of formula units
**Spin magnetization**: 0.01 μB/f.u.
**Space group**: F-43m (216)

=====

Please write out number 1 again, unchanged.
Below is Re5W7 after structural relaxation, with properties calculated at the PBE-GGA level.

POSCAR file:
```
Re5W7
1.0
5.1787 0.0000 0.0000
-2.5893 4.4849 0.0000
0.0000 0.0000 16.7549
Re W
10 14
Direct
0.1595 0.3191 0.2500 Re
0.1595 0.8405 0.2500 Re
0.3191 0.1595 0.7500 Re
0.3333 0.6667 0.6607 Re
0.3333 0.6667 0.8393 Re
0.6667 0.3333 0.1607 Re
0.6667 0.3333 0.3393 Re
0.6809 0.8405 0.2500 Re
0.8405 0.1595 0.7500 Re
0.8405 0.6809 0.7500 Re
0.0000 0.0000 0.0964 W
0.0000 0.0000 0.4036 W
0.0000 0.0000 0.5964 W
0.0000 0.0000 0.9036 W
0.0000 0.5000 0.0000 W
0.0000 0.5000 0.5000 W
0.3333 0.6667 0.1279 W
0.3333 0.6667 0.3721 W
0.5000 0.0000 0.0000 W
0.5000 0.0000 0.5000 W
0.5000 0.5000 0.0000 W
0.5000 0.5000 0.5000 W
0.6667 0.3333 0.6279 W
0.6667 0.3333 0.8721 W
```

Computed properties:
**Excess energy over the best structure of this formula in the dataset**: 0.102 eV/atom
**E_form**: 447 kJ/mol of formula units
**Spin magnetization**: 0.00 μB/f.u.
**Space group**: P6_3/mmc (194)